[1]
A relaxed AcPr3Mg crystal. Source: Alexandria, functional GGA-PBE.

Summary:
* mass density: 6.25 g cm⁻³
* crystal system: monoclinic

Unit cell a=13.928 b=3.898 c=13.216 alpha=90.00 beta=93.93 gamma=90.00
Space group C2/m (No. 12)
Asymmetric unit:
1 Ac 0.230 0.000 0.251 x4
2 Pr 0.038 0.000 0.688 x4
3 Pr 0.134 0.500 0.475 x4
4 Pr 0.147 0.000 0.950 x4
5 Mg 0.045 0.500 0.124 x4

[2]
A relaxed AcPrMg crystal. Source: Alexandria, functional GGA-PBE.

Summary:
* mass density: 6.24 g cm⁻³
* distance to the lowest polymorph of the same formula: 0.0812 eV/atom
* crystal system: trigonal

Unit cell a=5.7324 b=5.7324 c=3.6693 alpha=90.00 beta=90.00 gamma=120.00
Space group P3m1 (No. 156)
Asymmetric unit:
1 Ac 0.0000 0.0000 0.0000 x1
2 Pr 0.3333 0.6667 0.5667 x1
3 Mg 0.6667 0.3333 0.3567 x1

Number 1: total energy -80.4 eV/cell. Number 2: total energy -10.4 eV/cell.